The following is a PBE calculation of a relaxed structure of NaPtBr2, from the Alexandria database.

The energy relative to the elements, uncorrected is -359 meV/atom. As for the total magnetization: 0.190 μB per atom. The value obtained for the energy above the most stable polymorph in this dataset is 0.00 eV/f.u. As for the density of states at the Fermi level: 3.03 states/eV/f.u.

It has space group I-42d (No. 122), with a = 5.6966 Å, b = 5.6966 Å, c = 14.7701 Å, α = 90.00°, β = 90.00° and γ = 90.00°. The distinct sites, in fractional coordinates, are Na at (0.0000, 0.0000, 0.0000), Pt at (0.0000, 0.0000, 0.5000) and Br at (0.1968, 0.2500, 0.6250).

=====

The following is a PBE calculation of a relaxed structure of NaPtBr, from the Alexandria database.

The energy relative to the elements, uncorrected is -444 meV/atom. As for the total magnetization: 0.058 μB per atom. The value obtained for the energy above the most stable polymorph in this dataset is 0.44 eV/f.u. As for the density of states at the Fermi level: 1.24 states/eV/f.u.

It has space group P1 (No. 1), with a = 4.9611 Å, b = 5.8762 Å, c = 5.9296 Å, α = 90.86°, β = 99.44° and γ = 103.11°. The distinct sites, in fractional coordinates, are Na at (0.0000, 0.0000, 0.0000), Na at (0.2310, 0.5106, 0.5248), Pt at (0.0902, 0.9865, 0.5119), Pt at (0.5965, 0.0571, 0.4474), Br at (0.4556, 0.7525, 0.1333) and Br at (0.7392, 0.3630, 0.7595).

=====

The following is a PBE calculation of a relaxed structure of NaPtBr, from the Alexandria database.

The energy relative to the elements, uncorrected is -570 meV/atom. As for the total magnetization: 0.000 μB per atom. The value obtained for the energy above the most stable polymorph in this dataset is 0.06 eV/f.u. As for the density of states at the Fermi level: 0.00 states/eV/f.u.

It has space group P2_1/m (No. 11), with a = 6.3296 Å, b = 3.7657 Å, c = 6.3548 Å, α = 90.00°, β = 91.78° and γ = 90.00°. The distinct sites, in fractional coordinates, are Na at (0.1782, 0.2500, 0.2254), Pt at (0.3926, 0.7500, 0.9074) and Br at (0.1866, 0.2500, 0.7057).

=====

The following is a PBE calculation of a relaxed structure of NaPtBr, from the Alexandria database.

The energy relative to the elements, uncorrected is -575 meV/atom. As for the total magnetization: 0.000 μB per atom. The value obtained for the energy above the most stable polymorph in this dataset is 0.04 eV/f.u. As for the density of states at the Fermi level: 1.48 states/eV/f.u.

It has space group P1 (No. 1), with a = 3.5540 Å, b = 3.5567 Å, c = 10.8964 Å, α = 87.42°, β = 80.65° and γ = 90.00°. The distinct sites, in fractional coordinates, are Na at (0.0000, 0.0000, 0.0000), Na at (0.1725, 0.0940, 0.6576), Pt at (0.3125, 0.1427, 0.3756), Pt at (0.7772, 0.6413, 0.4466), Br at (0.4247, 0.4626, 0.1510) and Br at (0.5940, 0.5694, 0.8149).

=====

The following is a PBE calculation of a relaxed structure of NaPtBr, from the Alexandria database.

The energy relative to the elements, uncorrected is -574 meV/atom. As for the total magnetization: 0.000 μB per atom. The value obtained for the energy above the most stable polymorph in this dataset is 0.05 eV/f.u. As for the density of states at the Fermi level: 0.00 states/eV/f.u.

It has space group Cm (No. 8), with a = 10.5263 Å, b = 3.7697 Å, c = 8.8967 Å, α = 90.00°, β = 118.95° and γ = 90.00°. The distinct sites, in fractional coordinates, are Na at (0.0000, 0.0000, 0.0000), Na at (0.0341, 0.5000, 0.3544), Pt at (0.2585, 0.0000, 0.9676), Pt at (0.2744, 0.5000, 0.1748), Br at (0.2015, 0.5000, 0.7458) and Br at (0.2645, 0.0000, 0.3778).

=====

The following is a PBE calculation of a relaxed structure of NaPtBr, from the Alexandria database.

The energy relative to the elements, uncorrected is -577 meV/atom. As for the total magnetization: 0.000 μB per atom. The value obtained for the energy above the most stable polymorph in this dataset is 0.04 eV/f.u. As for the density of states at the Fermi level: 0.00 states/eV/f.u.

It has space group Amm2 (No. 38), with a = 3.7864 Å, b = 9.1110 Å, c = 8.6882 Å, α = 90.00°, β = 90.00° and γ = 90.00°. The distinct sites, in fractional coordinates, are Na at (0.0000, 0.2329, 0.0000), Pt at (0.0000, 0.0000, 0.6829), Pt at (0.5000, 0.0000, 0.4802), Br at (0.0000, 0.0000, 0.2744) and Br at (0.5000, 0.0000, 0.8897).

=====

The following is a PBE calculation of a relaxed structure of Na2PtBr6, from the Alexandria database.

The energy relative to the elements, uncorrected is -783 meV/atom. As for the total magnetization: 0.000 μB per atom. The value obtained for the energy above the most stable polymorph in this dataset is 0.59 eV/f.u.

It has space group P4_2/mnm (No. 136), with a = 6.7123 Å, b = 6.7123 Å, c = 12.5530 Å, α = 90.00°, β = 90.00° and γ = 90.00°. The distinct sites, in fractional coordinates, are Na at (0.0000, 0.0000, 0.1658), Pt at (0.0000, 0.0000, 0.5000), Br at (0.1817, 0.1817, 0.3547) and Br at (0.2353, 0.2353, 0.0000).

=====

The following is a PBE calculation of a relaxed structure of NaPtBr, from the Alexandria database.

The energy relative to the elements, uncorrected is 33 meV/atom. As for the total magnetization: 0.000 μB per atom. The value obtained for the energy above the most stable polymorph in this dataset is 1.87 eV/f.u. As for the density of states at the Fermi level: 0.92 states/eV/f.u.

It has space group P4/nmm (No. 129, origin choice 2), with a = 5.4568 Å, b = 5.4568 Å, c = 5.4564 Å, α = 90.00°, β = 90.00° and γ = 90.00°. The distinct sites, in fractional coordinates, are Na at (0.2500, 0.2500, 0.0038), Pt at (0.2500, 0.2500, 0.5035) and Br at (0.2500, 0.7500, 0.5000).